VASP calculation (PBE) on a geometry-optimized CdCuH3 structure.

For the polymorph energy (0 for the lowest one), the calculation gives 366 meV per atom. As for the density of states at the Fermi level: 2.04 states/eV/cell.

The structure belongs to space group Pm-3m (No. 221); the cell edges are 3.829, 3.829 and 3.829 Å and the angles 90.00°, 90.00° and 90.00°. The asymmetric unit holds Cd at (0.000, 0.000, 0.000), Cu at (0.500, 0.500, 0.500) and H at (0.000, 0.000, 0.500).


VASP calculation (PBE) on a geometry-optimized AcTlNi4 structure.

The calculation puts the energy relative to the elements at -100 meV/atom. As for the density of states at the Fermi level: 13.85 states/eV/cell.

The structure belongs to space group F-43m (No. 216); the cell edges are 7.377, 7.377 and 7.377 Å and the angles 90.00°, 90.00° and 90.00°. The asymmetric unit holds Ac at (0.000, 0.000, 0.000), Tl at (0.250, 0.250, 0.250) and Ni at (0.123, 0.123, 0.623).